# PBE Ca2MnBe3Au12, optimized geometry
# electronic total energy: -3.6626 eV per atom
data_Ca2MnBe3Au12
_chemical_formula_sum 'Ca6 Mn3 Be9 Au36'
_symmetry_space_group_name_H-M 'R -3 m'
_symmetry_Int_Tables_number 166
_symmetry_space_group_name_Hall '-R 3 2"'
_cell_length_a 8.2910
_cell_length_b 8.2910
_cell_length_c 18.8063
_cell_angle_alpha 90.00
_cell_angle_beta 90.00
_cell_angle_gamma 120.00
loop_
_atom_site_label
_atom_site_type_symbol
_atom_site_fract_x
_atom_site_fract_y
_atom_site_fract_z
Ca1 Ca 0.0000 0.0000 0.1025
Mn1 Mn 0.0000 0.0000 0.5000
Be1 Be 0.0000 0.5000 0.0000
Au1 Au 0.0097 0.5049 0.8766
Au2 Au 0.0401 0.5201 0.3602

=====

# PBE CaMnBe2Au, optimized geometry
# electronic total energy: -2.2556 eV per atom
data_CaMnBe2Au
_chemical_formula_sum 'Ca1 Mn1 Be2 Au1'
_symmetry_space_group_name_H-M 'P 4/m m m'
_symmetry_Int_Tables_number 123
_symmetry_space_group_name_Hall '-P 4 2'
_cell_length_a 4.583
_cell_length_b 4.583
_cell_length_c 4.127
_cell_angle_alpha 90.00
_cell_angle_beta 90.00
_cell_angle_gamma 90.00
loop_
_atom_site_label
_atom_site_type_symbol
_atom_site_fract_x
_atom_site_fract_y
_atom_site_fract_z
Ca1 Ca 0.000 0.000 0.000
Mn1 Mn 0.000 0.000 0.500
Be1 Be 0.000 0.500 0.000
Au1 Au 0.500 0.500 0.500

=====

# PBE CaBeMo2Au, optimized geometry
# electronic total energy: -5.5244 eV per atom
data_CaBeMo2Au
_chemical_formula_sum 'Ca1 Be1 Mo2 Au1'
_symmetry_space_group_name_H-M 'P 4/m m m'
_symmetry_Int_Tables_number 123
_symmetry_space_group_name_Hall '-P 4 2'
_cell_length_a 4.359
_cell_length_b 4.359
_cell_length_c 4.663
_cell_angle_alpha 90.00
_cell_angle_beta 90.00
_cell_angle_gamma 90.00
loop_
_atom_site_label
_atom_site_type_symbol
_atom_site_fract_x
_atom_site_fract_y
_atom_site_fract_z
Ca1 Ca 0.000 0.000 0.000
Be1 Be 0.500 0.500 0.500
Mo1 Mo 0.000 0.500 0.500
Au1 Au 0.500 0.500 0.000

=====

# PBE CaBeAuN2, optimized geometry
# formation energy without anion corrections: 5.67 eV/f.u.
# electronic total energy: -3.9971 eV per atom
data_CaBeAuN2
_chemical_formula_sum 'Ca1 Be1 Au1 N2'
_symmetry_space_group_name_H-M 'P 4/m m m'
_symmetry_Int_Tables_number 123
_symmetry_space_group_name_Hall '-P 4 2'
_cell_length_a 4.386
_cell_length_b 4.386
_cell_length_c 4.096
_cell_angle_alpha 90.00
_cell_angle_beta 90.00
_cell_angle_gamma 90.00
loop_
_atom_site_label
_atom_site_type_symbol
_atom_site_fract_x
_atom_site_fract_y
_atom_site_fract_z
Ca1 Ca 0.000 0.000 0.000
Be1 Be 0.500 0.500 0.000
Au1 Au 0.500 0.500 0.500
N1 N 0.000 0.500 0.500

=====

# PBE Ca2BeNiAu6, optimized geometry
# electronic total energy: -3.7027 eV per atom
data_Ca2BeNiAu6
_chemical_formula_sum 'Ca2 Be1 Ni1 Au6'
_symmetry_space_group_name_H-M 'P -1'
_symmetry_Int_Tables_number 2
_cell_length_a 6.173
_cell_length_b 6.333
_cell_length_c 6.472
_cell_angle_alpha 66.26
_cell_angle_beta 67.83
_cell_angle_gamma 69.18
loop_
_symmetry_equiv_pos_as_xyz
'x,y,z'
'-x,-y,-z'
loop_
_atom_site_label
_atom_site_type_symbol
_atom_site_fract_x
_atom_site_fract_y
_atom_site_fract_z
Ca1 Ca 0.236 0.206 0.175
Be1 Be 0.500 0.500 0.500
Ni1 Ni 0.000 0.000 0.000
Au1 Au 0.258 0.239 0.642
Au2 Au 0.264 0.664 0.241
Au3 Au 0.314 0.735 0.753

=====

# PBE Ca2Be2Pd5Au, optimized geometry
# electronic total energy: -4.6750 eV per atom
data_Ca2Be2Pd5Au
_chemical_formula_sum 'Ca4 Be4 Pd10 Au2'
_symmetry_space_group_name_H-M 'P 4/m b m'
_symmetry_Int_Tables_number 127
_symmetry_space_group_name_Hall '-P 4 2ab'
_cell_length_a 9.750
_cell_length_b 9.750
_cell_length_c 3.446
_cell_angle_alpha 90.00
_cell_angle_beta 90.00
_cell_angle_gamma 90.00
loop_
_atom_site_label
_atom_site_type_symbol
_atom_site_fract_x
_atom_site_fract_y
_atom_site_fract_z
Ca1 Ca 0.179 0.321 0.000
Be1 Be 0.119 0.619 0.000
Pd1 Pd 0.000 0.500 0.500
Pd2 Pd 0.068 0.779 0.500
Au1 Au 0.000 0.000 0.000